Entry 1:
# LaBCl, relaxed, DFT PBE-GGA
data_LaBCl
_cell_length_a 3.300
_cell_length_b 4.782
_cell_length_c 9.663
_cell_angle_alpha 104.33
_cell_angle_beta 99.83
_cell_angle_gamma 90.00
_space_group_name_H-M_alt 'P 1'
_space_group_IT_number 1
_space_group_name_Hall 'P 1'
loop_
_atom_site_label
_atom_site_fract_x
_atom_site_fract_y
_atom_site_fract_z
La1 0.137 0.637 0.274
La2 0.863 0.363 0.726
Cl1 0.319 0.819 0.639
Cl2 0.681 0.181 0.361
B1 0.245 0.500 0.000
B2 0.755 0.500 0.000
# Energy above the lowest structure with this stoichiometry   0.312 eV per atom
# Raw formation energy   -0.8729 eV/atom

---

Entry 2:
# HoErScPa, relaxed, DFT PBE-GGA
data_HoErScPa
_cell_length_a 5.401
_cell_length_b 5.401
_cell_length_c 5.401
_cell_angle_alpha 60.00
_cell_angle_beta 60.00
_cell_angle_gamma 60.00
_space_group_name_H-M_alt 'P 1'
_space_group_IT_number 1
_space_group_name_Hall 'P 1'
loop_
_atom_site_label
_atom_site_fract_x
_atom_site_fract_y
_atom_site_fract_z
Er1 0.500 0.500 0.500
Sc1 0.750 0.750 0.750
Pa1 0.000 0.000 0.000
Ho1 0.250 0.250 0.250
# Formation energy   0.287 eV/atom

---

Entry 3:
# Sr2HgOs, relaxed, DFT PBE-GGA
data_Sr2HgOs
_cell_length_a 3.651
_cell_length_b 3.651
_cell_length_c 8.216
_cell_angle_alpha 90.00
_cell_angle_beta 90.00
_cell_angle_gamma 89.96
_space_group_name_H-M_alt 'P 1'
_space_group_IT_number 1
_space_group_name_Hall 'P 1'
loop_
_atom_site_label
_atom_site_fract_x
_atom_site_fract_y
_atom_site_fract_z
Os1 0.500 0.500 0.750
Hg1 0.500 0.500 0.250
Sr1 0.000 0.000 0.964
Sr2 0.000 0.000 0.536
# Formation energy   0.304 eV/atom

---

Entry 4:
# TcI2Cl8, relaxed, DFT PBE-GGA
data_TcI2Cl8
_cell_length_a 6.782
_cell_length_b 9.018
_cell_length_c 11.191
_cell_angle_alpha 136.54
_cell_angle_beta 90.00
_cell_angle_gamma 112.09
_space_group_name_H-M_alt 'P 1'
_space_group_IT_number 1
_space_group_name_Hall 'P 1'
loop_
_atom_site_label
_atom_site_fract_x
_atom_site_fract_y
_atom_site_fract_z
Cl1 0.339 0.677 0.554
Cl2 0.096 0.716 0.893
Cl3 0.904 0.284 0.107
Cl4 0.661 0.323 0.446
Cl5 0.099 0.199 0.781
Cl6 0.620 0.716 0.893
Cl7 0.380 0.284 0.107
Cl8 0.901 0.801 0.219
I1 0.891 0.782 0.637
I2 0.109 0.218 0.363
Tc1 0.000 0.000 0.000
# Raw formation energy   -0.2783 eV/atom

---

Entry 5:
# SrCdW2, relaxed, DFT PBE-GGA
data_SrCdW2
_cell_length_a 6.340
_cell_length_b 6.340
_cell_length_c 6.340
_cell_angle_alpha 154.24
_cell_angle_beta 130.96
_cell_angle_gamma 56.21
_space_group_name_H-M_alt 'P 1'
_space_group_IT_number 1
_space_group_name_Hall 'P 1'
loop_
_atom_site_label
_atom_site_fract_x
_atom_site_fract_y
_atom_site_fract_z
Sr1 0.250 0.750 0.500
W1 0.980 0.980 0.000
W2 0.520 0.520 0.000
Cd1 0.750 0.250 0.500
# Formation energy   1.012 eV/atom

---

Entry 6:
# Ce8Sb4As3, relaxed, DFT PBE-GGA
data_Ce8Sb4As3
_cell_length_a 8.731
_cell_length_b 8.709
_cell_length_c 8.709
_cell_angle_alpha 89.96
_cell_angle_beta 120.11
_cell_angle_gamma 120.11
_space_group_name_H-M_alt 'P 1'
_space_group_IT_number 1
_space_group_name_Hall 'P 1'
loop_
_atom_site_label
_atom_site_fract_x
_atom_site_fract_y
_atom_site_fract_z
Ce1 0.493 0.740 0.740
Ce2 0.000 0.747 0.253
Ce3 0.507 0.260 0.260
Ce4 0.500 0.744 0.256
Ce5 0.985 0.740 0.740
Ce6 0.015 0.260 0.260
Ce7 0.000 0.253 0.747
Ce8 0.500 0.256 0.744
As1 0.500 0.000 0.500
As2 0.500 0.500 0.500
As3 0.500 0.500 0.000
Sb1 0.500 0.000 0.000
Sb2 0.000 0.500 0.000
Sb3 0.000 0.000 0.500
Sb4 0.000 0.000 0.000
# Raw formation energy   -1.0122 eV/atom

---

DOS at the Fermi energy values (in states/eV per cell) by entry order: 3.73 8.30 4.34 4.31 2.54 46.88.